Arrangement one

{
  "formula": "LaSn3Au",
  "functional": "GGA-PBE",
  "state": "relaxed",
  "crystal_system": "orthorhombic",
  "spacegroup": "Pbcm, No. 57",
  "cell": [[13.126, 0.000, 0.000], [0.000, 6.386, 0.000], [0.000, 0.000, 6.403]],
  "species": ["La", "La", "La", "La", "Sn", "Sn", "Sn", "Sn", "Sn", "Sn", "Sn", "Sn", "Sn", "Sn", "Sn", "Sn", "Au", "Au", "Au", "Au"],
  "frac_coords": [[0.195, 0.008, 0.250], [0.195, 0.492, 0.750], [0.805, 0.508, 0.250], [0.805, 0.992, 0.750], [0.000, 0.250, 0.000], [0.000, 0.250, 0.500], [0.000, 0.750, 0.000], [0.000, 0.750, 0.500], [0.260, 0.517, 0.250], [0.260, 0.983, 0.750], [0.436, 0.631, 0.750], [0.436, 0.869, 0.250], [0.564, 0.131, 0.750], [0.564, 0.369, 0.250], [0.740, 0.017, 0.250], [0.740, 0.483, 0.750], [0.391, 0.250, 0.000], [0.391, 0.250, 0.500], [0.609, 0.750, 0.000], [0.609, 0.750, 0.500]]
}

Arrangement two

{
  "formula": "LaSn3Au",
  "functional": "GGA-PBE",
  "state": "relaxed",
  "crystal_system": "cubic",
  "spacegroup": "Pm-3m, No. 221",
  "cell": [[6.030, 0.000, 0.000], [0.000, 6.030, 0.000], [0.000, 0.000, 6.030]],
  "species": ["La", "Sn", "Sn", "Sn", "Au"],
  "frac_coords": [[0.000, 0.000, 0.000], [0.000, 0.000, 0.500], [0.000, 0.500, 0.000], [0.500, 0.000, 0.000], [0.500, 0.500, 0.500]]
}

Arrangement three

{
  "formula": "LaSn3Au",
  "functional": "GGA-PBE",
  "state": "relaxed",
  "crystal_system": "cubic",
  "spacegroup": "Pm-3m, No. 221",
  "cell": [[5.394, 0.000, 0.000], [0.000, 5.394, 0.000], [0.000, 0.000, 5.394]],
  "species": ["La", "Sn", "Sn", "Sn", "Au"],
  "frac_coords": [[0.000, 0.000, 0.000], [0.000, 0.500, 0.500], [0.500, 0.000, 0.500], [0.500, 0.500, 0.000], [0.500, 0.500, 0.500]]
}

Arrangement four

{
  "formula": "LaSn3Au",
  "functional": "GGA-PBE",
  "state": "relaxed",
  "crystal_system": "orthorhombic",
  "spacegroup": "Cmmm, No. 65",
  "cell": [[2.418, -12.480, 0.000], [2.418, 12.480, 0.000], [0.000, 0.000, 4.597]],
  "species": ["La", "La", "Sn", "Sn", "Sn", "Sn", "Sn", "Sn", "Au", "Au"],
  "frac_coords": [[0.168, 0.832, 0.000], [0.832, 0.168, 0.000], [0.059, 0.941, 0.500], [0.277, 0.723, 0.500], [0.443, 0.557, 0.000], [0.557, 0.443, 0.000], [0.723, 0.277, 0.500], [0.941, 0.059, 0.500], [0.383, 0.617, 0.500], [0.617, 0.383, 0.500]]
}

The calculated energies rank the structures as follows, beginning with the most stable: arrangement four, arrangement one, arrangement three, arrangement two.

Arrangement one

{
  "formula": "SrLa2Au",
  "functional": "GGA-PBE",
  "state": "relaxed",
  "crystal_system": "orthorhombic",
  "spacegroup": "Imm2, No. 44",
  "cell": [[-1.983, 2.863, 6.071], [1.983, -2.863, 6.071], [1.983, 2.863, -6.071]],
  "species": ["Sr", "La", "La", "Au"],
  "frac_coords": [[0.000, 0.000, 0.000], [0.400, 0.400, 0.000], [0.701, 0.201, 0.500], [0.209, 0.709, 0.500]]
}

Arrangement two

{
  "formula": "SrLa2Au",
  "functional": "GGA-PBE",
  "state": "relaxed",
  "crystal_system": "tetragonal",
  "spacegroup": "I-4m2, No. 119",
  "cell": [[-2.416, 2.416, 5.439], [2.416, -2.416, 5.439], [2.416, 2.416, -5.439]],
  "species": ["Sr", "La", "La", "Au"],
  "frac_coords": [[0.000, 0.000, 0.000], [0.500, 0.500, 0.000], [0.750, 0.250, 0.500], [0.250, 0.750, 0.500]]
}

Arrangement three

{
  "formula": "SrLa2Au",
  "functional": "GGA-PBE",
  "state": "relaxed",
  "crystal_system": "cubic",
  "spacegroup": "Fm-3m, No. 225",
  "cell": [[0.000, 3.980, 3.980], [3.980, 0.000, 3.980], [3.980, 3.980, 0.000]],
  "species": ["Sr", "La", "La", "Au"],
  "frac_coords": [[0.000, 0.000, 0.000], [0.250, 0.250, 0.250], [0.750, 0.750, 0.750], [0.500, 0.500, 0.500]]
}

The calculated energies rank the structures as follows, beginning with the most stable: arrangement one, arrangement two, arrangement three.

Arrangement one

{
  "formula": "SrLaAu3",
  "functional": "GGA-PBE",
  "state": "relaxed",
  "crystal_system": "orthorhombic",
  "spacegroup": "Cmcm, No. 63",
  "cell": [[2.019, -14.541, 0.000], [2.019, 14.541, 0.000], [0.000, 0.000, 4.663]],
  "species": ["Sr", "Sr", "La", "La", "Au", "Au", "Au", "Au", "Au", "Au"],
  "frac_coords": [[0.072, 0.928, 0.750], [0.928, 0.072, 0.250], [0.202, 0.798, 0.250], [0.798, 0.202, 0.750], [0.314, 0.686, 0.250], [0.379, 0.621, 0.750], [0.474, 0.526, 0.750], [0.526, 0.474, 0.250], [0.621, 0.379, 0.250], [0.686, 0.314, 0.750]]
}

Arrangement two

{
  "formula": "SrLaAu3",
  "functional": "GGA-PBE",
  "state": "relaxed",
  "crystal_system": "cubic",
  "spacegroup": "Pm-3m, No. 221",
  "cell": [[5.486, 0.000, 0.000], [0.000, 5.486, 0.000], [0.000, 0.000, 5.486]],
  "species": ["Sr", "La", "Au", "Au", "Au"],
  "frac_coords": [[0.000, 0.000, 0.000], [0.500, 0.500, 0.500], [0.000, 0.000, 0.500], [0.000, 0.500, 0.000], [0.500, 0.000, 0.000]]
}

Arrangement three

{
  "formula": "SrLaAu3",
  "functional": "GGA-PBE",
  "state": "relaxed",
  "crystal_system": "cubic",
  "spacegroup": "Pm-3m, No. 221",
  "cell": [[5.582, 0.000, 0.000], [0.000, 5.582, 0.000], [0.000, 0.000, 5.582]],
  "species": ["Sr", "La", "Au", "Au", "Au"],
  "frac_coords": [[0.000, 0.000, 0.000], [0.500, 0.500, 0.500], [0.000, 0.500, 0.500], [0.500, 0.000, 0.500], [0.500, 0.500, 0.000]]
}

The calculated energies rank the structures as follows, beginning with the most stable: arrangement one, arrangement three, arrangement two.